# 1
SrGdMgCd | GGA-PBE | optimized geometry

abc: 5.5789 5.5789 5.5789
angles: 60.00 60.00 60.00
Positions (direct):
Sr1 0.0000 0.0000 0.0000
Gd1 0.5000 0.5000 0.5000
Mg1 0.7500 0.7500 0.7500
Cd1 0.2500 0.2500 0.2500

Values from the calculation:
symmetry = F-43m
crystal system = cubic
electronic total energy = -4.7158 eV per atom

# 2
SmThC | GGA-PBE | optimized geometry

abc: 3.6445 3.6445 6.4801
angles: 90.00 90.00 120.00
Positions (direct):
Sm1 0.0000 0.0000 0.0000
Th1 0.3333 0.6667 0.4374
C1 0.6667 0.3333 0.2244

Values from the calculation:
symmetry = P3m1
crystal system = trigonal
excess energy over the best structure of this formula in the dataset = 0.000 eV/atom
electronic total energy = -7.3088 eV per atom

# 3
Pr3SmDyY | GGA-PBE | optimized geometry

abc: 6.4190 6.4190 12.0396
angles: 90.00 90.00 123.80
Positions (direct):
Pr1 0.1642 0.8358 0.5106
Pr2 0.1642 0.8358 0.9894
Pr3 0.3323 0.6677 0.2500
Pr4 0.6677 0.3323 0.7500
Pr5 0.8358 0.1642 0.0106
Pr6 0.8358 0.1642 0.4894
Sm1 0.5000 0.5000 0.0000
Sm2 0.5000 0.5000 0.5000
Dy1 0.0118 0.9882 0.2500
Dy2 0.9882 0.0118 0.7500
Y1 0.3434 0.6566 0.7500
Y2 0.6566 0.3434 0.2500

Values from the calculation:
symmetry = Cmcm
crystal system = orthorhombic
electronic total energy = -4.9130 eV per atom

# 4
TiAlH | GGA-PBE | optimized geometry

abc: 4.8635 5.1889 5.7626
angles: 90.00 90.00 90.00
Positions (direct):
Ti1 0.1420 0.1804 0.2500
Ti2 0.1420 0.3196 0.7500
Ti3 0.8580 0.6804 0.2500
Ti4 0.8580 0.8196 0.7500
Al1 0.3439 0.7500 0.0000
Al2 0.3439 0.7500 0.5000
Al3 0.6561 0.2500 0.0000
Al4 0.6561 0.2500 0.5000
H1 0.1832 0.5277 0.2500
H2 0.1832 0.9723 0.7500
H3 0.8168 0.0277 0.2500
H4 0.8168 0.4723 0.7500

Values from the calculation:
symmetry = Pbcm
crystal system = orthorhombic
excess energy over the best structure of this formula in the dataset = 0.202 eV/atom
electronic total energy = -5.1751 eV per atom

# 5
Mg4Cd5Hg2 | GGA-PBE | optimized geometry

abc: 7.6486 3.2950 9.8356
angles: 90.00 95.30 90.00
Positions (direct):
Mg1 0.1770 0.0000 0.3861
Mg2 0.2675 0.0000 0.9447
Mg3 0.7325 0.0000 0.0553
Mg4 0.8230 0.0000 0.6139
Cd1 0.1791 0.5000 0.6506
Cd2 0.4604 0.5000 0.1924
Cd3 0.5000 0.5000 0.5000
Cd4 0.5396 0.5000 0.8076
Cd5 0.8209 0.5000 0.3494
Hg1 0.0730 0.5000 0.1434
Hg2 0.9270 0.5000 0.8566

Values from the calculation:
symmetry = P2/m
crystal system = monoclinic
electronic total energy = -1.1441 eV per atom

# 6
Ba2Hg2Pb | GGA-PBE | optimized geometry

abc: 9.6806 9.6806 4.1118
angles: 90.00 90.00 90.00
Positions (direct):
Ba1 0.1687 0.3313 0.0000
Ba2 0.3313 0.8313 0.0000
Ba3 0.6687 0.1687 0.0000
Ba4 0.8313 0.6687 0.0000
Hg1 0.1269 0.6269 0.5000
Hg2 0.3731 0.1269 0.5000
Hg3 0.6269 0.8731 0.5000
Hg4 0.8731 0.3731 0.5000
Pb1 0.0000 0.0000 0.0000
Pb2 0.5000 0.5000 0.0000

Values from the calculation:
symmetry = P4/mbm
crystal system = tetragonal
excess energy over the best structure of this formula in the dataset = 0.188 eV/atom
electronic total energy = -1.9408 eV per atom

# 7
K2Tl | GGA-PBE | optimized geometry

abc: 7.4749 7.4749 9.2992
angles: 107.70 107.70 35.49
Positions (direct):
K1 0.0000 0.0000 0.0000
K2 0.0024 0.0024 0.4995
K3 0.3034 0.3034 0.6979
K4 0.7008 0.7008 0.2961
Tl1 0.3218 0.3218 0.1079
Tl2 0.6727 0.6727 0.8764

Values from the calculation:
symmetry = Cm
crystal system = monoclinic
excess energy over the best structure of this formula in the dataset = 0.051 eV/atom
electronic total energy = -1.5330 eV per atom

# 8
Na5Sb2Pd | GGA-PBE | optimized geometry

abc: 5.2481 5.2481 19.2307
angles: 90.00 90.00 120.00
Positions (direct):
Na1 0.0000 0.0000 0.1583
Na2 0.0000 0.0000 0.3417
Na3 0.0000 0.0000 0.6583
Na4 0.0000 0.0000 0.8417
Na5 0.3333 0.6667 0.0513
Na6 0.3333 0.6667 0.2500
Na7 0.3333 0.6667 0.4487
Na8 0.6667 0.3333 0.5513
Na9 0.6667 0.3333 0.7500
Na10 0.6667 0.3333 0.9487
Sb1 0.3333 0.6667 0.6162
Sb2 0.3333 0.6667 0.8838
Sb3 0.6667 0.3333 0.1162
Sb4 0.6667 0.3333 0.3838
Pd1 0.3333 0.6667 0.7500
Pd2 0.6667 0.3333 0.2500

Values from the calculation:
symmetry = P6_3/mmc
crystal system = hexagonal
electronic total energy = -2.8934 eV per atom
uncorrected formation energy = -389 meV per atom

# 9
HgPb3Se4 | GGA-PBE | optimized geometry

abc: 8.8860 9.5622 6.2950
angles: 90.00 90.00 90.00
Positions (direct):
Hg1 0.0000 0.1850 0.0000
Hg2 0.5000 0.8150 0.5000
Pb1 0.0000 0.8784 0.4672
Pb2 0.2219 0.6569 0.9723
Pb3 0.2781 0.3431 0.4723
Pb4 0.5000 0.1216 0.9672
Pb5 0.7219 0.3431 0.4723
Pb6 0.7781 0.6569 0.9723
Se1 0.0000 0.2037 0.4509
Se2 0.0000 0.9024 0.9429
Se3 0.2395 0.6676 0.4439
Se4 0.2605 0.3324 0.9439
Se5 0.5000 0.0976 0.4429
Se6 0.5000 0.7963 0.9509
Se7 0.7395 0.3324 0.9439
Se8 0.7605 0.6676 0.4439

Values from the calculation:
symmetry = Pmn2_1
crystal system = orthorhombic
excess energy over the best structure of this formula in the dataset = 0.000 eV/atom
electronic total energy = -3.5522 eV per atom
uncorrected formation energy = -382 meV per atom

# 10
Li2SbPb | GGA-PBE | optimized geometry

abc: 10.1715 10.1715 10.1715
angles: 154.13 154.13 36.91
Positions (direct):
Li1 0.1083 0.6250 0.9833
Li2 0.3750 0.3583 0.4833
Li3 0.6417 0.1250 0.0167
Li4 0.8750 0.8917 0.5167
Sb1 0.0000 0.0000 0.0000
Sb2 0.7500 0.2500 0.5000
Pb1 0.2500 0.7500 0.5000
Pb2 0.5000 0.5000 0.0000

Values from the calculation:
symmetry = I-42d
crystal system = tetragonal
excess energy over the best structure of this formula in the dataset = 0.163 eV/atom
electronic total energy = -3.1199 eV per atom
uncorrected formation energy = -205 meV per atom